DFT (GGA-PBE) results for a relaxed structure of PrCSe. Values from VASP.

The symmetry is No. 12. The energy relative to the elements, uncorrected is -0.7947 eV/atom.

Geometry as Quantum ESPRESSO input:
```
&SYSTEM
  ibrav = 0, nat = 6, ntyp = 3
/
ATOMIC_SPECIES
Pr 140.91 Pr.upf
C 12.01 C.upf
Se 78.96 Se.upf
ATOMIC_POSITIONS angstrom
Pr -0.550 0.000 2.276
Pr 8.000 0.000 5.263
C 2.157 0.000 6.914
C 5.293 0.000 0.625
Se 2.393 0.000 2.782
Se 5.056 0.000 4.757
CELL_PARAMETERS angstrom
5.361 -1.940 0.000
5.361 1.940 0.000
-3.272 0.000 7.540
```